No. 1
! Hf2Co3W4C3, relaxed, DFT PBE; values from VASP
&SYSTEM
  ibrav = 0, nat = 24, ntyp = 4
/
ATOMIC_SPECIES
Hf 178.49 Hf.upf
Co 58.93 Co.upf
C 12.01 C.upf
W 183.84 W.upf
ATOMIC_POSITIONS crystal
Hf 0.624 0.458 0.877
Hf 0.376 0.542 0.123
Hf 0.458 0.624 0.377
Hf 0.542 0.376 0.623
Co 0.934 0.066 0.250
Co 0.413 0.110 0.249
Co 0.066 0.934 0.750
Co 0.587 0.890 0.751
Co 0.890 0.587 0.251
Co 0.110 0.413 0.749
C 0.177 0.661 0.500
C 0.823 0.339 0.500
C 0.000 0.500 0.000
C 0.661 0.177 0.000
C 0.500 0.000 0.500
C 0.339 0.823 0.000
W 0.980 0.797 0.912
W 0.203 0.020 0.588
W 0.143 0.306 0.412
W 0.857 0.694 0.588
W 0.020 0.203 0.088
W 0.306 0.143 0.912
W 0.694 0.857 0.088
W 0.797 0.980 0.412
CELL_PARAMETERS angstrom
4.555 -2.622 0.000
4.555 2.622 0.000
-3.083 0.000 12.992
! E: -10.2710 eV per atom

***

No. 2
! GdMgZn, relaxed, DFT PBE; values from VASP
&SYSTEM
  ibrav = 0, nat = 9, ntyp = 3
/
ATOMIC_SPECIES
Gd 157.25 Gd.upf
Mg 24.30 Mg.upf
Zn 65.41 Zn.upf
ATOMIC_POSITIONS crystal
Gd 0.333 0.667 0.625
Gd 0.000 0.000 0.270
Gd 0.667 0.333 0.081
Mg 0.667 0.333 0.753
Mg 0.000 0.000 0.888
Mg 0.667 0.333 0.434
Zn 0.333 0.667 0.968
Zn 0.000 0.000 0.585
Zn 0.333 0.667 0.282
CELL_PARAMETERS angstrom
4.985 0.000 0.000
-2.493 4.317 0.000
0.000 0.000 9.357
! E: -2.7042 eV per atom

***

No. 3
! BeSnPd2, relaxed, DFT PBE; values from VASP
&SYSTEM
  ibrav = 0, nat = 4, ntyp = 3
/
ATOMIC_SPECIES
Be 9.01 Be.upf
Pd 106.42 Pd.upf
Sn 118.71 Sn.upf
ATOMIC_POSITIONS crystal
Be 0.250 0.250 0.250
Pd 0.000 0.000 0.000
Pd 0.750 0.750 0.750
Sn 0.500 0.500 0.500
CELL_PARAMETERS angstrom
0.000 3.123 3.123
3.123 0.000 3.123
3.123 3.123 0.000
! E: -4.6860 eV per atom

***

No. 4
! TbHo2Mg3Ir3, relaxed, DFT PBE; values from VASP
&SYSTEM
  ibrav = 0, nat = 9, ntyp = 4
/
ATOMIC_SPECIES
Mg 24.30 Mg.upf
Tb 158.93 Tb.upf
Ir 192.22 Ir.upf
Ho 164.93 Ho.upf
ATOMIC_POSITIONS crystal
Mg 0.500 0.999 0.245
Mg 0.500 0.245 0.999
Mg 0.500 0.756 0.756
Tb 0.000 0.410 0.410
Ir 0.500 0.333 0.668
Ir 0.000 0.999 0.999
Ir 0.500 0.668 0.333
Ho 0.000 0.591 0.000
Ho 0.000 0.000 0.591
CELL_PARAMETERS angstrom
-2.736 -2.004 -2.214
-2.400 -3.326 5.975
-2.933 6.295 -2.073
! E: -5.6882 eV per atom